[1]
# PBE Pr2ReCl, optimized geometry
# SG ... No. 166
# Electronic total energy ... -5.763 eV/atom
# Formation energy (no corrections) ... 0.8 eV/f.u.
# Crystal system ... trigonal
data_Pr2ReCl
_symmetry_space_group_name_H-M 'P 1'
_symmetry_Int_Tables_number 1
_cell_length_a 3.2748
_cell_length_b 3.2748
_cell_length_c 31.0993
_cell_angle_alpha 90.00
_cell_angle_beta 90.00
_cell_angle_gamma 120.00
loop_
_symmetry_equiv_pos_as_xyz
'x,y,z'
loop_
_atom_site_label
_atom_site_fract_x
_atom_site_fract_y
_atom_site_fract_z
Pr1 0.0000 0.0000 0.0899
Pr2 0.0000 0.0000 0.9101
Pr3 0.3333 0.6667 0.5768
Pr4 0.3333 0.6667 0.7566
Pr5 0.6667 0.3333 0.2434
Pr6 0.6667 0.3333 0.4232
Re1 0.0000 0.0000 0.0000
Re2 0.3333 0.6667 0.6667
Re3 0.6667 0.3333 0.3333
Cl1 0.0000 0.0000 0.5000
Cl2 0.3333 0.6667 0.1667
Cl3 0.6667 0.3333 0.8333

***

[2]
# PBE Pr4ReCl5, optimized geometry
# SG ... No. 12
# Electronic total energy ... -5.543 eV/atom
# Formation energy (no corrections) ... -14.6 eV/f.u.
# Crystal system ... monoclinic
data_Pr4ReCl5
_symmetry_space_group_name_H-M 'P 1'
_symmetry_Int_Tables_number 1
_cell_length_a 9.4291
_cell_length_b 9.4291
_cell_length_c 9.3198
_cell_angle_alpha 106.57
_cell_angle_beta 106.57
_cell_angle_gamma 24.26
loop_
_symmetry_equiv_pos_as_xyz
'x,y,z'
loop_
_atom_site_label
_atom_site_fract_x
_atom_site_fract_y
_atom_site_fract_z
Pr1 0.0022 0.0022 0.2448
Pr2 0.3501 0.3501 0.9112
Pr3 0.6499 0.6499 0.0888
Pr4 0.9978 0.9978 0.7552
Re1 0.5000 0.5000 0.0000
Cl1 0.1669 0.1669 0.3231
Cl2 0.1684 0.1684 0.8669
Cl3 0.5000 0.5000 0.5000
Cl4 0.8316 0.8316 0.1331
Cl5 0.8331 0.8331 0.6769

***

[3]
# PBE Pr2RhCl2, optimized geometry
# SG ... No. 12
# Electronic total energy ... -5.574 eV/atom
# Formation energy (no corrections) ... -7.3 eV/f.u.
# Crystal system ... monoclinic
data_Pr2RhCl2
_symmetry_space_group_name_H-M 'P 1'
_symmetry_Int_Tables_number 1
_cell_length_a 7.1077
_cell_length_b 4.0984
_cell_length_c 11.2099
_cell_angle_alpha 90.00
_cell_angle_beta 103.34
_cell_angle_gamma 90.00
loop_
_symmetry_equiv_pos_as_xyz
'x,y,z'
loop_
_atom_site_label
_atom_site_fract_x
_atom_site_fract_y
_atom_site_fract_z
Pr1 0.2233 0.0000 0.1550
Pr2 0.2767 0.5000 0.8450
Pr3 0.7233 0.5000 0.1550
Pr4 0.7767 0.0000 0.8450
Rh1 0.0000 0.5000 0.0000
Rh2 0.5000 0.0000 0.0000
Cl1 0.0507 0.0000 0.6825
Cl2 0.4493 0.5000 0.3175
Cl3 0.5507 0.5000 0.6825
Cl4 0.9493 0.0000 0.3175

***

[4]
# PBE Pr4RhCl5, optimized geometry
# SG ... No. 12
# Electronic total energy ... -5.250 eV/atom
# Formation energy (no corrections) ... -16.8 eV/f.u.
# Crystal system ... monoclinic
data_Pr4RhCl5
_symmetry_space_group_name_H-M 'P 1'
_symmetry_Int_Tables_number 1
_cell_length_a 9.6461
_cell_length_b 9.6461
_cell_length_c 8.6072
_cell_angle_alpha 107.36
_cell_angle_beta 107.36
_cell_angle_gamma 24.05
loop_
_symmetry_equiv_pos_as_xyz
'x,y,z'
loop_
_atom_site_label
_atom_site_fract_x
_atom_site_fract_y
_atom_site_fract_z
Pr1 0.0029 0.0029 0.2769
Pr2 0.3395 0.3395 0.3780
Pr3 0.6605 0.6605 0.6220
Pr4 0.9971 0.9971 0.7231
Rh1 0.5000 0.5000 0.5000
Cl1 0.1651 0.1651 0.8635
Cl2 0.1729 0.1729 0.3792
Cl3 0.5000 0.5000 0.0000
Cl4 0.8271 0.8271 0.6208
Cl5 0.8349 0.8349 0.1365

***

[5]
# PBE Pr3RhCl3, optimized geometry
# SG ... No. 11
# Electronic total energy ... -5.420 eV/atom
# Formation energy (no corrections) ... -10.7 eV/f.u.
# Crystal system ... monoclinic
data_Pr3RhCl3
_symmetry_space_group_name_H-M 'P 1'
_symmetry_Int_Tables_number 1
_cell_length_a 8.8524
_cell_length_b 4.0504
_cell_length_c 12.0361
_cell_angle_alpha 90.00
_cell_angle_beta 93.60
_cell_angle_gamma 90.00
loop_
_symmetry_equiv_pos_as_xyz
'x,y,z'
loop_
_atom_site_label
_atom_site_fract_x
_atom_site_fract_y
_atom_site_fract_z
Pr1 0.1104 0.2500 0.3732
Pr2 0.1366 0.2500 0.8569
Pr3 0.3330 0.7500 0.6222
Pr4 0.6670 0.2500 0.3778
Pr5 0.8634 0.7500 0.1431
Pr6 0.8896 0.7500 0.6268
Rh1 0.1129 0.2500 0.6220
Rh2 0.8871 0.7500 0.3780
Cl1 0.1022 0.2500 0.1113
Cl2 0.3719 0.7500 0.8676
Cl3 0.3921 0.7500 0.3775
Cl4 0.6079 0.2500 0.6225
Cl5 0.6281 0.2500 0.1324
Cl6 0.8978 0.7500 0.8887

***

[6]
# PBE Pr6Ru2RhCl3, optimized geometry
# SG ... No. 12
# Electronic total energy ... -5.975 eV/atom
# Formation energy (no corrections) ... -11.6 eV/f.u.
# Crystal system ... monoclinic
data_Pr6Ru2RhCl3
_symmetry_space_group_name_H-M 'P 1'
_symmetry_Int_Tables_number 1
_cell_length_a 7.0850
_cell_length_b 7.0850
_cell_length_c 8.0310
_cell_angle_alpha 98.44
_cell_angle_beta 98.44
_cell_angle_gamma 120.03
loop_
_symmetry_equiv_pos_as_xyz
'x,y,z'
loop_
_atom_site_label
_atom_site_fract_x
_atom_site_fract_y
_atom_site_fract_z
Pr1 0.0930 0.4315 0.7937
Pr2 0.2303 0.2303 0.2068
Pr3 0.4315 0.0930 0.7937
Pr4 0.5685 0.9070 0.2063
Pr5 0.7697 0.7697 0.7932
Pr6 0.9070 0.5685 0.2063
Ru1 0.1662 0.8338 0.0000
Ru2 0.8338 0.1662 0.0000
Rh1 0.5000 0.5000 0.0000
Cl1 0.0000 0.0000 0.5000
Cl2 0.3301 0.6699 0.5000
Cl3 0.6699 0.3301 0.5000

***

[7]
# PBE Pr8Rh3SCl4, optimized geometry
# SG ... No. 166
# Electronic total energy ... -5.747 eV/atom
# Formation energy (no corrections) ... -20.2 eV/f.u.
# Crystal system ... trigonal
data_Pr8Rh3SCl4
_symmetry_space_group_name_H-M 'P 1'
_symmetry_Int_Tables_number 1
_cell_length_a 8.8320
_cell_length_b 8.8320
_cell_length_c 8.8320
_cell_angle_alpha 56.22
_cell_angle_beta 56.22
_cell_angle_gamma 56.22
loop_
_symmetry_equiv_pos_as_xyz
'x,y,z'
loop_
_atom_site_label
_atom_site_fract_x
_atom_site_fract_y
_atom_site_fract_z
Pr1 0.2277 0.7415 0.7415
Pr2 0.2353 0.2353 0.2353
Pr3 0.2585 0.2585 0.7723
Pr4 0.2585 0.7723 0.2585
Pr5 0.7415 0.2277 0.7415
Pr6 0.7415 0.7415 0.2277
Pr7 0.7647 0.7647 0.7647
Pr8 0.7723 0.2585 0.2585
Rh1 0.0000 0.0000 0.5000
Rh2 0.0000 0.5000 0.0000
Rh3 0.5000 0.0000 0.0000
S1 0.5000 0.5000 0.5000
Cl1 0.0000 0.0000 0.0000
Cl2 0.0000 0.5000 0.5000
Cl3 0.5000 0.0000 0.5000
Cl4 0.5000 0.5000 0.0000

***

[8]
# PBE Pr4RhSCl2, optimized geometry
# SG ... No. 10
# Electronic total energy ... -5.694 eV/atom
# Formation energy (no corrections) ... -11.3 eV/f.u.
# Crystal system ... monoclinic
data_Pr4RhSCl2
_symmetry_space_group_name_H-M 'P 1'
_symmetry_Int_Tables_number 1
_cell_length_a 7.3936
_cell_length_b 4.0133
_cell_length_c 7.4903
_cell_angle_alpha 90.00
_cell_angle_beta 107.81
_cell_angle_gamma 90.00
loop_
_symmetry_equiv_pos_as_xyz
'x,y,z'
loop_
_atom_site_label
_atom_site_fract_x
_atom_site_fract_y
_atom_site_fract_z
Pr1 0.2285 0.0000 0.2173
Pr2 0.2646 0.5000 0.7786
Pr3 0.7353 0.5000 0.2214
Pr4 0.7715 0.0000 0.7827
Rh1 0.0000 0.5000 0.0000
S1 0.5000 0.0000 0.0000
Cl1 0.0000 0.0000 0.5000
Cl2 0.5000 0.5000 0.5000

***

[9]
# PBE Pr6Rh2SCl3, optimized geometry
# SG ... No. 12
# Electronic total energy ... -5.740 eV/atom
# Formation energy (no corrections) ... -15.8 eV/f.u.
# Crystal system ... monoclinic
data_Pr6Rh2SCl3
_symmetry_space_group_name_H-M 'P 1'
_symmetry_Int_Tables_number 1
_cell_length_a 7.2407
_cell_length_b 7.2407
_cell_length_c 7.7067
_cell_angle_alpha 98.99
_cell_angle_beta 98.99
_cell_angle_gamma 119.90
loop_
_symmetry_equiv_pos_as_xyz
'x,y,z'
loop_
_atom_site_label
_atom_site_fract_x
_atom_site_fract_y
_atom_site_fract_z
Pr1 0.0821 0.4286 0.7880
Pr2 0.2221 0.2221 0.2088
Pr3 0.4286 0.0821 0.7880
Pr4 0.5714 0.9179 0.2120
Pr5 0.7779 0.7779 0.7912
Pr6 0.9179 0.5714 0.2120
Rh1 0.1678 0.8322 0.0000
Rh2 0.8322 0.1678 0.0000
S1 0.5000 0.5000 0.0000
Cl1 0.0000 0.0000 0.5000
Cl2 0.3410 0.6590 0.5000
Cl3 0.6590 0.3410 0.5000

***

[10]
# PBE Pr3RhSCl, optimized geometry
# SG ... No. 11
# Electronic total energy ... -5.759 eV/atom
# Formation energy (no corrections) ... -6.9 eV/f.u.
# Crystal system ... monoclinic
data_Pr3RhSCl
_symmetry_space_group_name_H-M 'P 1'
_symmetry_Int_Tables_number 1
_cell_length_a 8.5248
_cell_length_b 4.0812
_cell_length_c 9.3889
_cell_angle_alpha 90.00
_cell_angle_beta 103.25
_cell_angle_gamma 90.00
loop_
_symmetry_equiv_pos_as_xyz
'x,y,z'
loop_
_atom_site_label
_atom_site_fract_x
_atom_site_fract_y
_atom_site_fract_z
Pr1 0.0710 0.2500 0.3412
Pr2 0.2259 0.2500 0.0003
Pr3 0.3899 0.7500 0.6072
Pr4 0.6101 0.2500 0.3928
Pr5 0.7741 0.7500 0.9997
Pr6 0.9290 0.7500 0.6588
Rh1 0.1674 0.2500 0.6513
Rh2 0.8326 0.7500 0.3487
S1 0.3187 0.7500 0.2687
S2 0.6813 0.2500 0.7313
Cl1 0.4020 0.7500 0.9020
Cl2 0.5980 0.2500 0.0980

***

[11]
# PBE Pr8Rh3SeCl4, optimized geometry
# SG ... No. 166
# Electronic total energy ... -5.683 eV/atom
# Formation energy (no corrections) ... -19.8 eV/f.u.
# Crystal system ... trigonal
data_Pr8Rh3SeCl4
_symmetry_space_group_name_H-M 'P 1'
_symmetry_Int_Tables_number 1
_cell_length_a 8.8286
_cell_length_b 8.8286
_cell_length_c 8.8286
_cell_angle_alpha 56.91
_cell_angle_beta 56.91
_cell_angle_gamma 56.91
loop_
_symmetry_equiv_pos_as_xyz
'x,y,z'
loop_
_atom_site_label
_atom_site_fract_x
_atom_site_fract_y
_atom_site_fract_z
Pr1 0.2206 0.7467 0.7467
Pr2 0.2352 0.2352 0.2352
Pr3 0.2533 0.2533 0.7794
Pr4 0.2533 0.7794 0.2533
Pr5 0.7467 0.2206 0.7467
Pr6 0.7467 0.7467 0.2206
Pr7 0.7648 0.7648 0.7648
Pr8 0.7794 0.2533 0.2533
Rh1 0.0000 0.0000 0.5000
Rh2 0.0000 0.5000 0.0000
Rh3 0.5000 0.0000 0.0000
Se1 0.5000 0.5000 0.5000
Cl1 0.0000 0.0000 0.0000
Cl2 0.0000 0.5000 0.5000
Cl3 0.5000 0.0000 0.5000
Cl4 0.5000 0.5000 0.0000

***

[12]
# PBE Pr6Si2RhCl3, optimized geometry
# SG ... No. 12
# Electronic total energy ... -5.508 eV/atom
# Formation energy (no corrections) ... -13.7 eV/f.u.
# Crystal system ... monoclinic
data_Pr6Si2RhCl3
_symmetry_space_group_name_H-M 'P 1'
_symmetry_Int_Tables_number 1
_cell_length_a 9.5328
_cell_length_b 9.5328
_cell_length_c 8.7306
_cell_angle_alpha 102.71
_cell_angle_beta 102.71
_cell_angle_gamma 25.44
loop_
_symmetry_equiv_pos_as_xyz
'x,y,z'
loop_
_atom_site_label
_atom_site_fract_x
_atom_site_fract_y
_atom_site_fract_z
Pr1 0.0047 0.0047 0.2311
Pr2 0.3278 0.3278 0.4254
Pr3 0.3436 0.3436 0.8997
Pr4 0.6564 0.6564 0.1003
Pr5 0.6722 0.6722 0.5746
Pr6 0.9953 0.9953 0.7689
Si1 0.1651 0.1651 0.3390
Si2 0.8349 0.8349 0.6610
Rh1 0.5000 0.5000 0.0000
Cl1 0.1734 0.1734 0.8393
Cl2 0.5000 0.5000 0.5000
Cl3 0.8266 0.8266 0.1607

***

| no. | magnetic moment (Bohr magnetons per cell) |
| --- | --- |
| 1 | 1.559 |
| 2 | 0.000 |
| 3 | 0.000 |
| 4 | 0.000 |
| 5 | 0.535 |
| 6 | 0.000 |
| 7 | 0.000 |
| 8 | 0.000 |
| 9 | 0.000 |
| 10 | 0.000 |
| 11 | 0.000 |
| 12 | 0.000 |